This record from Alexandria via LeMat-Bulk describes a geometry-optimized K2MgMo2H4O10 structure. The functional is PBE+U.

The space group is P-1 (No. 2) and the conventional cell measures 5.986, 6.601 and 7.887 Å, with angles of 111.59, 96.18 and 109.40 degrees. The distinct sites, in fractional coordinates, are K at (0.164, 0.283, 0.254), Mg at (0.500, 0.000, 0.500), Mo at (0.169, 0.343, 0.739), H at (0.381, 0.868, 0.112), H at (0.424, 0.867, 0.793), O at (0.127, 0.759, 0.421), O at (0.142, 0.200, 0.890), O at (0.270, 0.661, 0.873), O at (0.387, 0.288, 0.604) and O at (0.454, 0.012, 0.235).

The calculated total energy comes out at -5.96 eV per atom.